Record 1
YBeNi2 | the Open Quantum Materials Database | PBE-GGA | relaxed; mass density = 6185 kg/m3; E_tot = -5.300 eV per atom; magnetic moment = 0.0 μB per formula unit; V = 58 Å³/cell
1.0
0.0000 3.0689 3.0689
3.0689 0.0000 3.0689
3.0689 3.0689 0.0000
Y Be Ni
1 1 2
Direct
0.0000 0.0000 0.0000
0.7500 0.7500 0.7500
0.2500 0.2500 0.2500
0.5000 0.5000 0.5000

***

Record 2
BeZnNi | the Open Quantum Materials Database | PBE-GGA | relaxed; mass density = 6189 kg/m3; E_tot = -3.455 eV per atom; magnetic moment = 0.0 μB per formula unit; V = 36 Å³/cell
1.0
0.0000 2.6138 2.6138
2.6138 0.0000 2.6138
2.6138 2.6138 0.0000
Be Zn Ni
1 1 1
Direct
0.0000 0.0000 0.0000
0.2500 0.2500 0.2500
0.7500 0.7500 0.7500

***

Record 3
Zr2Be2Ni3 | the Open Quantum Materials Database | PBE-GGA | relaxed; mass density = 6342 kg/m3; E_tot = -6.132 eV per atom; magnetic moment = 0.0 μB per formula unit; V = 99 Å³/cell
1.0
2.0702 1.1952 6.6412
-2.0702 1.1952 6.6412
0.0000 -2.3905 6.6412
Zr Be Ni
2 2 3
Direct
0.0000 0.0000 0.0000
0.4834 0.4834 0.4834
0.2401 0.2401 0.2401
0.7384 0.7384 0.7384
0.3583 0.3583 0.3583
0.6125 0.6125 0.6125
0.8702 0.8702 0.8702

***

Record 4
ZrBe2Ni2 | the Open Quantum Materials Database | PBE-GGA | relaxed; mass density = 6398 kg/m3; E_tot = -5.815 eV per atom; magnetic moment = 0.0 μB per formula unit; V = 59 Å³/cell
1.0
-1.7944 1.7944 4.5671
1.7944 -1.7944 4.5671
1.7944 1.7944 -4.5671
Zr Be Ni
1 2 2
Direct
0.0000 0.0000 0.0000
0.3828 0.3828 0.0000
0.6172 0.6172 0.0000
0.2500 0.7500 0.5000
0.7500 0.2500 0.5000

***

- Which of these has the highest E_tot?
  BeZnNi

***

- Which formula does entry 1 have?
  YBeNi2